Record 1
This record from Alexandria via LeMat-Bulk describes an optimized crystal structure of BeBH2. The functional is PBE-GGA.

Cell lengths 3.0578, 3.0578, 3.0578 Å; angles 60.00, 60.00, 60.00 degrees
With the nearest neighbours (Å) after each atom.
Element x y z (fractional)
H  0.2500  0.2500  0.2500  4 B 1.87, 4 Be 1.87
Be  0.0000  0.0000  0.0000  8 H 1.87
B  0.5000  0.5000  0.5000  8 H 1.87
H  0.7500  0.7500  0.7500  4 B 1.87, 4 Be 1.87

Results
**ΔE to the lowest computed polymorph**: 0.2767 eV/atom
**E**: -12.96 eV per cell
**Volume**: 5.05 Å³/atom

Record 2
This record from Alexandria via LeMat-Bulk describes an optimized crystal structure of Be2BH. The functional is PBE-GGA.

Cell lengths 6.9163, 3.3741, 5.7520 Å; angles 90.00, 91.00, 90.00 degrees
With the nearest neighbours (Å) after each atom.
Element x y z (fractional)
H  0.1112  0.5000  0.8584  1 B 1.27
Be  0.5394  0.0000  0.6218  1 H 1.62
Be  0.6589  0.0000  0.2900  4 B 2.02-2.17, 5 Be 2.09-2.14
B  0.9449  0.5000  0.9503  1 H 1.27
Be  0.6589  0.5000  0.7900  4 B 2.02-2.17, 5 Be 2.09-2.14
H  0.3979  0.5000  0.3441  1 B 1.27
B  0.5642  0.5000  0.4430  1 H 1.27
Be  0.8501  0.5000  0.2929  4 B 2.02-2.17, 5 Be 2.09-2.14
Be  0.5394  0.5000  0.1218  1 H 1.62
Be  0.8501  0.0000  0.7929  4 B 2.02-2.17, 5 Be 2.09-2.14
B  0.5642  0.0000  0.9430  1 H 1.27
H  0.1112  0.0000  0.3584  1 B 1.27
H  0.3979  0.0000  0.8441  1 B 1.27
B  0.9449  0.0000  0.4503  1 H 1.27
Be  0.9692  0.0000  0.1300  1 H 1.63
Be  0.9692  0.5000  0.6300  1 H 1.63

Results
**ΔE to the lowest computed polymorph**: 0.0280 eV/atom
**E**: -68.58 eV per cell
**Volume**: 8.39 Å³/atom

Record 3
This record from Alexandria via LeMat-Bulk describes an optimized crystal structure of BeB3H12. The functional is PBE-GGA.

Cell lengths 6.5668, 6.5668, 8.4008 Å; angles 66.99, 66.99, 60.00 degrees
With the nearest neighbours (Å) after each atom.
Element x y z (fractional)
H  0.9802  0.1544  0.5343  1 B 1.23
Be  0.5039  0.5039  0.4883  6 H 1.62
B  0.7082  0.2996  0.9883  4 H 1.23-1.24
H  0.5276  0.3535  0.9422  1 B 1.23
H  0.6768  0.8535  0.4422  1 B 1.23
H  0.0237  0.7386  0.1173  1 B 1.24
H  0.5237  0.6204  0.6173  1 B 1.24
H  0.9841  0.8874  0.8593  1 B 1.24
B  0.2082  0.5039  0.4883  4 H 1.23-1.24
H  0.4802  0.8311  0.0343  1 B 1.23
H  0.6204  0.2386  0.6173  1 B 1.24
H  0.8311  0.6544  0.0343  1 B 1.23
B  0.5039  0.7996  0.4883  4 H 1.23-1.24
H  0.8874  0.2692  0.8593  1 B 1.24
B  0.0039  0.7082  0.9883  4 H 1.23-1.24
B  0.7996  0.2082  0.4883  4 H 1.23-1.24
H  0.7692  0.3874  0.3593  1 B 1.24
H  0.6544  0.4802  0.0343  1 B 1.23
H  0.7386  0.1204  0.1173  1 B 1.24
H  0.8535  0.0276  0.4422  1 B 1.23
H  0.1204  0.0237  0.1173  1 B 1.24
H  0.1544  0.3311  0.5343  1 B 1.23
H  0.1768  0.5276  0.9422  1 B 1.23
H  0.3535  0.1768  0.9422  1 B 1.23
B  0.2996  0.0039  0.9883  4 H 1.23-1.24
H  0.2692  0.9841  0.8593  1 B 1.24
H  0.0276  0.6768  0.4422  1 B 1.23
Be  0.0039  0.0039  0.9883  6 H 1.62
H  0.4841  0.7692  0.3593  1 B 1.24
H  0.3311  0.9802  0.5343  1 B 1.23
H  0.3874  0.4841  0.3593  1 B 1.24
H  0.2386  0.5237  0.6173  1 B 1.24

Results
**E**: -126.22 eV per cell
**Volume**: 8.75 Å³/atom